No. 1
# CeSnAu | Alexandria via LeMat-Bulk | PBE | relaxed
# - Spin magnetization: 2.05 μB per cell
# - ΔH_f (0 K): -0.68 eV per atom
# - Crystal system: hexagonal
data_CeSnAu
_chemical_formula_sum 'Ce2 Sn2 Au2'
_space_group_name_H-M_alt 'P 63/m m c'
_space_group_IT_number 194
_space_group_name_Hall '-P 6c 2c'
_cell_length_a 4.7711
_cell_length_b 4.7711
_cell_length_c 7.7398
_cell_angle_alpha 90.00
_cell_angle_beta 90.00
_cell_angle_gamma 120.00
loop_
_atom_site_label
_atom_site_type_symbol
_atom_site_fract_x
_atom_site_fract_y
_atom_site_fract_z
Ce1 Ce 0.0000 0.0000 0.0000
Sn1 Sn 0.3333 0.6667 0.2500
Au1 Au 0.3333 0.6667 0.7500

No. 2
# Ce2SnAu | Alexandria via LeMat-Bulk | PBE | relaxed
# - Spin magnetization: 4.66 μB per cell
# - ΔH_f (0 K): -0.57 eV per atom
# - Crystal system: orthorhombic
data_Ce2SnAu
_chemical_formula_sum 'Ce4 Sn2 Au2'
_space_group_name_H-M_alt 'C m m m'
_space_group_IT_number 65
_space_group_name_Hall '-C 2 2'
_cell_length_a 6.5353
_cell_length_b 7.6916
_cell_length_c 4.1945
_cell_angle_alpha 90.00
_cell_angle_beta 90.00
_cell_angle_gamma 90.00
loop_
_atom_site_label
_atom_site_type_symbol
_atom_site_fract_x
_atom_site_fract_y
_atom_site_fract_z
Ce1 Ce 0.2500 0.2500 0.0000
Sn1 Sn 0.0000 0.0000 0.5000
Au1 Au 0.0000 0.5000 0.5000

No. 3
# Ce3SnAu | Alexandria via LeMat-Bulk | PBE | relaxed
# - Spin magnetization: 6.93 μB per cell
# - ΔH_f (0 K): -0.37 eV per atom
# - Crystal system: orthorhombic
data_Ce3SnAu
_chemical_formula_sum 'Ce12 Sn4 Au4'
_space_group_name_H-M_alt 'P n m a'
_space_group_IT_number 62
_cell_length_a 9.7126
_cell_length_b 5.5000
_cell_length_c 10.1631
_cell_angle_alpha 90.00
_cell_angle_beta 90.00
_cell_angle_gamma 90.00
loop_
_space_group_symop_operation_xyz
'x,y,z'
'-x,-y,-z'
'-x+1/2,-y,z+1/2'
'x+1/2,y,-z+1/2'
'x+1/2,-y+1/2,-z+1/2'
'-x+1/2,y+1/2,z+1/2'
'-x,y+1/2,-z'
'x,-y+1/2,z'
loop_
_atom_site_label
_atom_site_type_symbol
_atom_site_fract_x
_atom_site_fract_y
_atom_site_fract_z
Ce1 Ce 0.0807 0.2500 0.0996
Ce2 Ce 0.1261 0.7500 0.4007
Ce3 Ce 0.1541 0.7500 0.6721
Sn1 Sn 0.2378 0.2500 0.5260
Au1 Au 0.0731 0.2500 0.8125

No. 4
# CeSn2Au | Alexandria via LeMat-Bulk | PBE | relaxed
# - Spin magnetization: 3.50 μB per cell
# - ΔH_f (0 K): 0.03 eV per atom
# - Crystal system: trigonal
data_CeSn2Au
_chemical_formula_sum 'Ce3 Sn6 Au3'
_space_group_name_H-M_alt 'R -3 m'
_space_group_IT_number 166
_space_group_name_Hall '-R 3 2"'
_cell_length_a 3.3840
_cell_length_b 3.3840
_cell_length_c 32.1734
_cell_angle_alpha 90.00
_cell_angle_beta 90.00
_cell_angle_gamma 120.00
loop_
_atom_site_label
_atom_site_type_symbol
_atom_site_fract_x
_atom_site_fract_y
_atom_site_fract_z
Ce1 Ce 0.0000 0.0000 0.0000
Sn1 Sn 0.0000 0.0000 0.1000
Au1 Au 0.0000 0.0000 0.5000

No. 5
# CeSnAu4 | Alexandria via LeMat-Bulk | PBE | relaxed
# - Spin magnetization: 3.98 μB per cell
# - Energy above the most stable polymorph in this dataset: 16 meV per atom
# - ΔH_f (0 K): -0.36 eV per atom
# - Crystal system: monoclinic
data_CeSnAu4
_chemical_formula_sum 'Ce4 Sn4 Au16'
_space_group_name_H-M_alt 'C 1 2/m 1'
_space_group_IT_number 12
_cell_length_a 10.4959
_cell_length_b 7.9463
_cell_length_c 6.8366
_cell_angle_alpha 90.00
_cell_angle_beta 105.77
_cell_angle_gamma 90.00
loop_
_space_group_symop_operation_xyz
'x,y,z'
'-x,-y,-z'
'-x,y,-z'
'x,-y,z'
'x+1/2,y+1/2,z'
'-x+1/2,-y+1/2,-z'
'-x+1/2,y+1/2,-z'
'x+1/2,-y+1/2,z'
loop_
_atom_site_label
_atom_site_type_symbol
_atom_site_fract_x
_atom_site_fract_y
_atom_site_fract_z
Ce1 Ce 0.1589 0.0000 0.2586
Sn1 Sn 0.1028 0.5000 0.3043
Au1 Au 0.0000 0.2383 0.5000
Au2 Au 0.1208 0.3162 0.9328
Au3 Au 0.1471 0.0000 0.7748

No. 6
# CeSnAu17 | Alexandria via LeMat-Bulk | PBE | relaxed
# - Spin magnetization: 3.09 μB per cell
# - ΔH_f (0 K): -0.09 eV per atom
# - Crystal system: trigonal
data_CeSnAu17
_chemical_formula_sum 'Ce3 Sn3 Au51'
_space_group_name_H-M_alt 'R 3 m'
_space_group_IT_number 160
_space_group_name_Hall 'R 3 -2"'
_cell_length_a 9.6438
_cell_length_b 9.6438
_cell_length_c 14.3772
_cell_angle_alpha 90.00
_cell_angle_beta 90.00
_cell_angle_gamma 120.00
loop_
_atom_site_label
_atom_site_type_symbol
_atom_site_fract_x
_atom_site_fract_y
_atom_site_fract_z
Ce1 Ce 0.0000 0.0000 0.0000
Sn1 Sn 0.0000 0.0000 0.3000
Au1 Au 0.0000 0.0000 0.5686
Au2 Au 0.0000 0.0000 0.7704
Au3 Au 0.0001 0.3052 0.6737
Au4 Au 0.1687 0.3374 0.1537
Au5 Au 0.1717 0.3434 0.5087
Au6 Au 0.1759 0.3517 0.8563

No. 7
# Ce6SnAu2 | Alexandria via LeMat-Bulk | PBE | relaxed
# - Spin magnetization: 2.88 μB per cell
# - ΔH_f (0 K): -0.34 eV per atom
# - Crystal system: triclinic
data_Ce6SnAu2
_chemical_formula_sum 'Ce6 Sn1 Au2'
_space_group_name_H-M_alt 'P -1'
_space_group_IT_number 2
_cell_length_a 5.1262
_cell_length_b 6.0026
_cell_length_c 7.9313
_cell_angle_alpha 78.54
_cell_angle_beta 71.28
_cell_angle_gamma 64.88
loop_
_space_group_symop_operation_xyz
'x,y,z'
'-x,-y,-z'
loop_
_atom_site_label
_atom_site_type_symbol
_atom_site_fract_x
_atom_site_fract_y
_atom_site_fract_z
Ce1 Ce 0.1616 0.2830 0.3937
Ce2 Ce 0.1675 0.5995 0.0596
Ce3 Ce 0.1803 0.9341 0.7054
Sn1 Sn 0.5000 0.0000 0.0000
Au1 Au 0.4992 0.3320 0.6718

No. 8
# CeSn2Au3 | Alexandria via LeMat-Bulk | PBE | relaxed
# - Spin magnetization: 3.15 μB per cell
# - ΔH_f (0 K): -0.45 eV per atom
# - Crystal system: orthorhombic
data_CeSn2Au3
_chemical_formula_sum 'Ce4 Sn8 Au12'
_space_group_name_H-M_alt 'I m m m'
_space_group_IT_number 71
_space_group_name_Hall '-I 2 2'
_cell_length_a 4.8843
_cell_length_b 7.7545
_cell_length_c 14.9029
_cell_angle_alpha 90.00
_cell_angle_beta 90.00
_cell_angle_gamma 90.00
loop_
_atom_site_label
_atom_site_type_symbol
_atom_site_fract_x
_atom_site_fract_y
_atom_site_fract_z
Ce1 Ce 0.0000 0.0000 0.1378
Sn1 Sn 0.0000 0.3154 0.5000
Sn2 Sn 0.0000 0.5000 0.1762
Au1 Au 0.0000 0.2282 0.3131
Au2 Au 0.0000 0.3223 0.0000

No. 9
# Ce3Sn4Au2 | Alexandria via LeMat-Bulk | PBE | relaxed
# - Spin magnetization: 5.39 μB per cell
# - ΔH_f (0 K): -0.60 eV per atom
# - Crystal system: monoclinic
data_Ce3Sn4Au2
_chemical_formula_sum 'Ce6 Sn8 Au4'
_space_group_name_H-M_alt 'C 1 2/m 1'
_space_group_IT_number 12
_cell_length_a 11.3207
_cell_length_b 4.8503
_cell_length_c 9.1545
_cell_angle_alpha 90.00
_cell_angle_beta 110.68
_cell_angle_gamma 90.00
loop_
_space_group_symop_operation_xyz
'x,y,z'
'-x,-y,-z'
'-x,y,-z'
'x,-y,z'
'x+1/2,y+1/2,z'
'-x+1/2,-y+1/2,-z'
'-x+1/2,y+1/2,-z'
'x+1/2,-y+1/2,z'
loop_
_atom_site_label
_atom_site_type_symbol
_atom_site_fract_x
_atom_site_fract_y
_atom_site_fract_z
Ce1 Ce 0.0000 0.0000 0.0000
Ce2 Ce 0.1454 0.5000 0.6796
Sn1 Sn 0.0735 0.0000 0.3936
Sn2 Sn 0.2030 0.5000 0.0535
Au1 Au 0.1697 0.5000 0.3379

No. 10
# Ce3Sn2Au9 | Alexandria via LeMat-Bulk | PBE | relaxed
# - Spin magnetization: 5.59 μB per cell
# - ΔH_f (0 K): -0.49 eV per atom
# - Crystal system: orthorhombic
data_Ce3Sn2Au9
_chemical_formula_sum 'Ce6 Sn4 Au18'
_space_group_name_H-M_alt 'I m m m'
_space_group_IT_number 71
_space_group_name_Hall '-I 2 2'
_cell_length_a 4.5139
_cell_length_b 10.3028
_cell_length_c 13.5788
_cell_angle_alpha 90.00
_cell_angle_beta 90.00
_cell_angle_gamma 90.00
loop_
_atom_site_label
_atom_site_type_symbol
_atom_site_fract_x
_atom_site_fract_y
_atom_site_fract_z
Ce1 Ce 0.0000 0.0000 0.0000
Ce2 Ce 0.0000 0.0000 0.2906
Sn1 Sn 0.0000 0.1874 0.5000
Au1 Au 0.0000 0.2925 0.1431
Au2 Au 0.0000 0.3689 0.3463
Au3 Au 0.0000 0.5000 0.0000

No. 11
# SrCe2Sn2Au2 | Alexandria via LeMat-Bulk | PBE | relaxed
# - Spin magnetization: 5.83 μB per cell
# - ΔH_f (0 K): -0.60 eV per atom
# - Crystal system: trigonal
data_SrCe2Sn2Au2
_chemical_formula_sum 'Sr3 Ce6 Sn6 Au6'
_space_group_name_H-M_alt 'R -3 m'
_space_group_IT_number 166
_space_group_name_Hall '-R 3 2"'
_cell_length_a 4.8268
_cell_length_b 4.8268
_cell_length_c 28.6365
_cell_angle_alpha 90.00
_cell_angle_beta 90.00
_cell_angle_gamma 120.00
loop_
_atom_site_label
_atom_site_type_symbol
_atom_site_fract_x
_atom_site_fract_y
_atom_site_fract_z
Sr1 Sr 0.0000 0.0000 0.0000
Ce1 Ce 0.0000 0.0000 0.1431
Sn1 Sn 0.0000 0.0000 0.2600
Au1 Au 0.0000 0.0000 0.4372

No. 12
# SrCeSnAu | Alexandria via LeMat-Bulk | PBE | relaxed
# - Spin magnetization: 4.30 μB per cell
# - ΔH_f (0 K): -0.61 eV per atom
# - Crystal system: cubic
data_SrCeSnAu
_chemical_formula_sum 'Sr4 Ce4 Sn4 Au4'
_space_group_name_H-M_alt 'F -4 3 m'
_space_group_IT_number 216
_space_group_name_Hall 'F -4 2 3'
_cell_length_a 7.7605
_cell_length_b 7.7605
_cell_length_c 7.7605
_cell_angle_alpha 90.00
_cell_angle_beta 90.00
_cell_angle_gamma 90.00
loop_
_atom_site_label
_atom_site_type_symbol
_atom_site_fract_x
_atom_site_fract_y
_atom_site_fract_z
Sr1 Sr 0.0000 0.0000 0.0000
Ce1 Ce 0.0000 0.0000 0.5000
Sn1 Sn 0.2500 0.2500 0.7500
Au1 Au 0.2500 0.2500 0.2500